1.
Entry from Alexandria: crystalline Y3NiSe at its relaxed geometry (PBE-GGA).

a = 5.206 Å, b = 5.206 Å, c = 5.206 Å
α = 90.00°, β = 90.00°, γ = 90.00°
Sites, in units of the cell vectors:
Y: 0.000 0.500 0.000
Y: 0.000 0.000 0.500
Y: 0.500 0.000 0.000
Ni: 0.000 0.000 0.000
Se: 0.500 0.500 0.500

Output
ΔE_f (raw)   -0.38 eV/atom
Final energy   -6.11 eV per atom

---

2.
Entry from Alexandria: crystalline MgHN3 at its relaxed geometry (PBE-GGA).

a = 3.314 Å, b = 3.314 Å, c = 3.314 Å
α = 90.00°, β = 90.00°, γ = 90.00°
Sites, in units of the cell vectors:
H: 0.000 0.000 0.000
Mg: 0.500 0.500 0.500
N: 0.000 0.500 0.000
N: 0.000 0.000 0.500
N: 0.500 0.000 0.000

Output
Final energy   -4.25 eV per atom

---

3.
Entry from Alexandria: crystalline Pm3ThAl8 at its relaxed geometry (PBE-GGA).

a = 5.678 Å, b = 5.678 Å, c = 9.796 Å
α = 73.15°, β = 73.15°, γ = 60.00°
Sites, in units of the cell vectors:
Pm: 0.375 0.375 0.876
Pm: 0.001 0.001 0.998
Pm: 0.500 0.500 0.500
Th: 0.875 0.875 0.375
Al: 0.938 0.437 0.188
Al: 0.438 0.937 0.688
Al: 0.437 0.437 0.188
Al: 0.937 0.937 0.688
Al: 0.187 0.187 0.438
Al: 0.688 0.688 0.936
Al: 0.437 0.938 0.188
Al: 0.937 0.438 0.688

Output
Final energy   -4.79 eV per atom

---

4.
Entry from Alexandria: crystalline PrSm6Al2 at its relaxed geometry (PBE-GGA).

a = 3.796 Å, b = 6.673 Å, c = 11.745 Å
α = 75.90°, β = 80.70°, γ = 73.47°
Sites, in units of the cell vectors:
Pr: 0.000 0.000 0.000
Sm: 0.690 0.494 0.126
Sm: 0.310 0.506 0.874
Sm: 0.312 0.790 0.585
Sm: 0.979 0.715 0.327
Sm: 0.021 0.285 0.673
Sm: 0.688 0.210 0.415
Al: 0.348 0.093 0.211
Al: 0.652 0.907 0.789

Output
Final energy   -4.65 eV per atom

---

Number 1: volume 141.1 Å³ per cell. Number 2: volume 36.4 Å³ per cell. Number 3: volume 257.7 Å³ per cell. Number 4: volume 275.3 Å³ per cell.